## one
Material: Cu4Au5
Method: DFT, PBE
State: optimized geometry

The structure in extended XYZ format:
```
9
Lattice="4.754 -4.371 0.000 4.754 4.371 0.000 -1.375 0.000 3.359" Properties=species:S:1:pos:R:3 pbc="T T T"
Cu 6.148 -2.870 0.574
Cu 1.985 2.870 2.785
Cu 6.148 2.870 0.574
Cu 1.985 -2.870 2.785
Au -0.687 0.000 1.680
Au 1.916 0.000 2.756
Au 4.067 1.557 1.680
Au 4.067 -1.557 1.680
Au 6.217 0.000 0.604
```


## two
Material: Cu4Au5
Method: DFT, PBE
State: optimized geometry

The structure in extended XYZ format:
```
18
Lattice="7.789 0.000 0.000 -3.895 6.746 0.000 0.000 0.000 5.382" Properties=species:S:1:pos:R:3 pbc="T T T"
Cu 0.000 0.000 0.000
Cu 0.000 0.000 2.691
Cu -1.377 2.385 1.345
Cu -2.518 4.361 4.036
Cu 2.753 0.000 1.345
Cu 1.377 2.385 4.036
Cu 5.036 0.000 4.036
Cu 2.518 4.361 1.345
Au -1.189 2.059 4.036
Au -2.706 4.687 1.345
Au 2.377 0.000 4.036
Au 1.189 2.059 1.345
Au 0.000 4.497 0.000
Au 0.000 4.497 2.691
Au 3.895 2.249 0.000
Au 3.895 2.249 2.691
Au 5.412 0.000 1.345
Au 2.706 4.687 4.036
```


Most stable of them? one.